No. 1
# Nd2ZnSi3Rh4

A relaxed Nd2ZnSi3Rh4 crystal (GGA-PBE, Alexandria via LeMat-Bulk).

Geometry as CIF:
```
data_Nd2ZnSi3Rh4
_symmetry_space_group_name_H-M 'P -4 m 2'
_symmetry_Int_Tables_number 115
_cell_length_a 4.195
_cell_length_b 4.195
_cell_length_c 9.958
_cell_angle_alpha 90.00
_cell_angle_beta 90.00
_cell_angle_gamma 90.00
loop_
_symmetry_equiv_pos_as_xyz
'x,y,z'
'y,-x,-z'
'-x,-y,z'
'-y,x,-z'
'-x,y,z'
'-y,-x,-z'
'x,-y,z'
'y,x,-z'
loop_
_atom_site_label
_atom_site_type_symbol
_atom_site_fract_x
_atom_site_fract_y
_atom_site_fract_z
Nd1 Nd 0.000 0.500 0.248
Zn1 Zn 0.500 0.500 0.000
Si1 Si 0.000 0.000 0.000
Si2 Si 0.000 0.500 0.626
Rh1 Rh 0.000 0.000 0.500
Rh2 Rh 0.000 0.500 0.866
Rh3 Rh 0.500 0.500 0.500
```

- Theoretical density: 8.1 g/cm3
- VASP energy: -65.947 eV for the cell shown
- Crystal system: tetragonal
- Fermi-level density of states: 7.4 states/eV per cell



No. 2
# CuHg2Te

A relaxed CuHg2Te crystal (GGA-PBE, Alexandria via LeMat-Bulk).

Geometry as CIF:
```
data_CuHg2Te
_symmetry_space_group_name_H-M 'C m m m'
_symmetry_Int_Tables_number 65
_symmetry_space_group_name_Hall '-C 2 2'
_cell_length_a 5.775
_cell_length_b 7.292
_cell_length_c 4.600
_cell_angle_alpha 90.00
_cell_angle_beta 90.00
_cell_angle_gamma 90.00
loop_
_atom_site_label
_atom_site_type_symbol
_atom_site_fract_x
_atom_site_fract_y
_atom_site_fract_z
Cu1 Cu 0.000 0.000 0.000
Hg1 Hg 0.000 0.208 0.500
Te1 Te 0.000 0.500 0.000
```

- Theoretical density: 10.2 g/cm3
- VASP energy: -14.485 eV for the cell shown
- Crystal system: orthorhombic
- Fermi-level density of states: 4.9 states/eV per cell



No. 3
# CdAg2Pd6

A relaxed CdAg2Pd6 crystal (GGA-PBE, Alexandria via LeMat-Bulk).

Geometry as CIF:
```
data_CdAg2Pd6
_symmetry_space_group_name_H-M 'P 42/m n m'
_symmetry_Int_Tables_number 136
_symmetry_space_group_name_Hall '-P 4n 2n'
_cell_length_a 8.511
_cell_length_b 8.511
_cell_length_c 4.048
_cell_angle_alpha 90.00
_cell_angle_beta 90.00
_cell_angle_gamma 90.00
loop_
_atom_site_label
_atom_site_type_symbol
_atom_site_fract_x
_atom_site_fract_y
_atom_site_fract_z
Cd1 Cd 0.000 0.000 0.000
Ag1 Ag 0.172 0.172 0.500
Pd1 Pd 0.002 0.336 0.000
Pd2 Pd 0.166 0.834 0.500
```

- Theoretical density: 10.9 g/cm3
- DFT formation energy: -0.119 eV/atom
- VASP energy: -77.690 eV for the cell shown
- ΔE to the lowest computed polymorph: 0 meV per atom
- Crystal system: tetragonal
- Fermi-level density of states: 14.2 states/eV per cell



No. 4
# TbTiRh2

A relaxed TbTiRh2 crystal (GGA-PBE, Alexandria via LeMat-Bulk).

Geometry as CIF:
```
data_TbTiRh2
_symmetry_space_group_name_H-M 'P 4/m m m'
_symmetry_Int_Tables_number 123
_symmetry_space_group_name_Hall '-P 4 2'
_cell_length_a 4.697
_cell_length_b 4.697
_cell_length_c 3.195
_cell_angle_alpha 90.00
_cell_angle_beta 90.00
_cell_angle_gamma 90.00
loop_
_atom_site_label
_atom_site_type_symbol
_atom_site_fract_x
_atom_site_fract_y
_atom_site_fract_z
Tb1 Tb 0.000 0.000 0.000
Ti1 Ti 0.500 0.500 0.000
Rh1 Rh 0.000 0.500 0.500
```

- Theoretical density: 9.7 g/cm3
- DFT formation energy: -0.648 eV/atom
- VASP energy: -29.821 eV for the cell shown
- ΔE to the lowest computed polymorph: 104 meV per atom
- Crystal system: tetragonal
- Fermi-level density of states: 4.1 states/eV per cell



No. 5
# BaCa2AsPb

A relaxed BaCa2AsPb crystal (GGA-PBE, Alexandria via LeMat-Bulk).

Geometry as CIF:
```
data_BaCa2AsPb
_symmetry_space_group_name_H-M 'P 4 m m'
_symmetry_Int_Tables_number 99
_cell_length_a 5.480
_cell_length_b 5.480
_cell_length_c 6.919
_cell_angle_alpha 90.00
_cell_angle_beta 90.00
_cell_angle_gamma 90.00
loop_
_symmetry_equiv_pos_as_xyz
'x,y,z'
'-y,x,z'
'-x,-y,z'
'y,-x,z'
'-x,y,z'
'y,x,z'
'x,-y,z'
'-y,-x,z'
loop_
_atom_site_label
_atom_site_type_symbol
_atom_site_fract_x
_atom_site_fract_y
_atom_site_fract_z
Ba1 Ba 0.000 0.000 0.000
Ca1 Ca 0.000 0.500 0.429
As1 As 0.000 0.000 0.539
Pb1 Pb 0.500 0.500 0.132
```

- Theoretical density: 4.0 g/cm3
- DFT formation energy: -0.678 eV/atom
- VASP energy: -17.673 eV for the cell shown
- Crystal system: tetragonal
- Fermi-level density of states: 4.9 states/eV per cell



No. 6
# SrLi2Ru

A relaxed SrLi2Ru crystal (GGA-PBE, Alexandria via LeMat-Bulk).

Geometry as CIF:
```
data_SrLi2Ru
_symmetry_space_group_name_H-M 'P m m 2'
_symmetry_Int_Tables_number 25
_cell_length_a 3.239
_cell_length_b 3.603
_cell_length_c 7.563
_cell_angle_alpha 90.00
_cell_angle_beta 90.00
_cell_angle_gamma 90.00
loop_
_symmetry_equiv_pos_as_xyz
'x,y,z'
'-x,-y,z'
'-x,y,z'
'x,-y,z'
loop_
_atom_site_label
_atom_site_type_symbol
_atom_site_fract_x
_atom_site_fract_y
_atom_site_fract_z
Sr1 Sr 0.000 0.000 0.000
Li1 Li 0.000 0.000 0.592
Li2 Li 0.500 0.500 0.399
Ru1 Ru 0.500 0.500 0.745
```

- Theoretical density: 3.8 g/cm3
- DFT formation energy: 0.373 eV/atom
- VASP energy: -13.292 eV for the cell shown
- ΔE to the lowest computed polymorph: 8 meV per atom
- Crystal system: orthorhombic
- Fermi-level density of states: 3.2 states/eV per cell



No. 7
# LiAs2S4

A relaxed LiAs2S4 crystal (GGA-PBE, Alexandria via LeMat-Bulk).

Geometry as CIF:
```
data_LiAs2S4
_symmetry_space_group_name_H-M 'C m c m'
_symmetry_Int_Tables_number 63
_symmetry_space_group_name_Hall '-C 2c 2'
_cell_length_a 3.596
_cell_length_b 11.881
_cell_length_c 12.588
_cell_angle_alpha 90.00
_cell_angle_beta 90.00
_cell_angle_gamma 90.00
loop_
_atom_site_label
_atom_site_type_symbol
_atom_site_fract_x
_atom_site_fract_y
_atom_site_fract_z
Li1 Li 0.000 0.086 0.250
As1 As 0.000 0.362 0.076
S1 S 0.000 0.000 0.000
S2 S 0.000 0.273 0.617
S3 S 0.000 0.447 0.250
```

- Theoretical density: 3.5 g/cm3
- VASP energy: -117.330 eV for the cell shown
- Crystal system: orthorhombic
- Fermi-level density of states: 14.4 states/eV per cell



No. 8
# LaAl3Au10

A relaxed LaAl3Au10 crystal (GGA-PBE, Alexandria via LeMat-Bulk).

Geometry as CIF:
```
data_LaAl3Au10
_symmetry_space_group_name_H-M 'F m -3 m'
_symmetry_Int_Tables_number 225
_symmetry_space_group_name_Hall '-F 4 2 3'
_cell_length_a 13.094
_cell_length_b 13.094
_cell_length_c 13.094
_cell_angle_alpha 90.00
_cell_angle_beta 90.00
_cell_angle_gamma 90.00
loop_
_atom_site_label
_atom_site_type_symbol
_atom_site_fract_x
_atom_site_fract_y
_atom_site_fract_z
La1 La 0.250 0.250 0.250
Al1 Al 0.000 0.000 0.237
Au1 Au 0.000 0.172 0.328
Au2 Au 0.115 0.115 0.115
```

- Theoretical density: 13.0 g/cm3
- DFT formation energy: -0.318 eV/atom
- VASP energy: -427.078 eV for the cell shown
- Crystal system: cubic
- Fermi-level density of states: 35.6 states/eV per cell



No. 9
# HoPu2Th

A relaxed HoPu2Th crystal (GGA-PBE, Alexandria via LeMat-Bulk).

Geometry as CIF:
```
data_HoPu2Th
_symmetry_space_group_name_H-M 'P 4/m m m'
_symmetry_Int_Tables_number 123
_symmetry_space_group_name_Hall '-P 4 2'
_cell_length_a 3.479
_cell_length_b 3.479
_cell_length_c 9.561
_cell_angle_alpha 90.00
_cell_angle_beta 90.00
_cell_angle_gamma 90.00
loop_
_atom_site_label
_atom_site_type_symbol
_atom_site_fract_x
_atom_site_fract_y
_atom_site_fract_z
Ho1 Ho 0.000 0.000 0.000
Pu1 Pu 0.500 0.500 0.258
Th1 Th 0.000 0.000 0.500
```

- Theoretical density: 12.7 g/cm3
- DFT formation energy: 0.169 eV/atom
- VASP energy: -39.986 eV for the cell shown
- ΔE to the lowest computed polymorph: 4 meV per atom
- Crystal system: tetragonal
- Fermi-level density of states: 12.7 states/eV per cell



No. 10
# Na3HfZr2Te6

A relaxed Na3HfZr2Te6 crystal (GGA-PBE, Alexandria via LeMat-Bulk).

Geometry as CIF:
```
data_Na3HfZr2Te6
_symmetry_space_group_name_H-M 'C 1 2/m 1'
_symmetry_Int_Tables_number 12
_cell_length_a 7.053
_cell_length_b 12.215
_cell_length_c 8.227
_cell_angle_alpha 90.00
_cell_angle_beta 106.59
_cell_angle_gamma 90.00
loop_
_symmetry_equiv_pos_as_xyz
'x,y,z'
'-x,-y,-z'
'-x,y,-z'
'x,-y,z'
'x+1/2,y+1/2,z'
'-x+1/2,-y+1/2,-z'
'-x+1/2,y+1/2,-z'
'x+1/2,-y+1/2,z'
loop_
_atom_site_label
_atom_site_type_symbol
_atom_site_fract_x
_atom_site_fract_y
_atom_site_fract_z
Na1 Na 0.000 0.000 0.000
Na2 Na 0.000 0.332 0.000
Hf1 Hf 0.000 0.500 0.500
Zr1 Zr 0.000 0.166 0.500
Te1 Te 0.239 0.335 0.724
Te2 Te 0.246 0.000 0.725
```

- Theoretical density: 5.8 g/cm3
- VASP energy: -120.940 eV for the cell shown
- Crystal system: monoclinic
- Fermi-level density of states: 13.1 states/eV per cell



No. 11
# LaTb2PmPr6

A relaxed LaTb2PmPr6 crystal (GGA-PBE, Alexandria via LeMat-Bulk).

Geometry as CIF:
```
data_LaTb2PmPr6
_symmetry_space_group_name_H-M 'C 1 2/c 1'
_symmetry_Int_Tables_number 15
_cell_length_a 9.377
_cell_length_b 15.482
_cell_length_c 9.939
_cell_angle_alpha 90.00
_cell_angle_beta 98.39
_cell_angle_gamma 90.00
loop_
_symmetry_equiv_pos_as_xyz
'x,y,z'
'-x,-y,-z'
'-x,y,-z+1/2'
'x,-y,z+1/2'
'x+1/2,y+1/2,z'
'-x+1/2,-y+1/2,-z'
'-x+1/2,y+1/2,-z+1/2'
'x+1/2,-y+1/2,z+1/2'
loop_
_atom_site_label
_atom_site_type_symbol
_atom_site_fract_x
_atom_site_fract_y
_atom_site_fract_z
La1 La 0.000 0.095 0.250
Tb1 Tb 0.242 0.452 0.046
Pm1 Pm 0.000 0.472 0.750
Pr1 Pr 0.067 0.323 0.444
Pr2 Pr 0.097 0.106 0.621
Pr3 Pr 0.207 0.274 0.818
```

- Theoretical density: 6.7 g/cm3
- DFT formation energy: 0.109 eV/atom
- VASP energy: -186.102 eV for the cell shown
- Crystal system: monoclinic
- Fermi-level density of states: 59.9 states/eV per cell



No. 12
# Na2InAgF6

A relaxed Na2InAgF6 crystal (GGA-PBE, Alexandria via LeMat-Bulk).

Geometry as CIF:
```
data_Na2InAgF6
_symmetry_space_group_name_H-M 'F m -3 m'
_symmetry_Int_Tables_number 225
_symmetry_space_group_name_Hall '-F 4 2 3'
_cell_length_a 8.915
_cell_length_b 8.915
_cell_length_c 8.915
_cell_angle_alpha 90.00
_cell_angle_beta 90.00
_cell_angle_gamma 90.00
loop_
_atom_site_label
_atom_site_type_symbol
_atom_site_fract_x
_atom_site_fract_y
_atom_site_fract_z
Na1 Na 0.250 0.250 0.250
In1 In 0.000 0.000 0.000
Ag1 Ag 0.000 0.000 0.500
F1 F 0.000 0.000 0.234
```

- Theoretical density: 3.6 g/cm3
- VASP energy: -164.526 eV for the cell shown
- ΔE to the lowest computed polymorph: 165 meV per atom
- Crystal system: cubic



No. 13
# SrRuSN2

A relaxed SrRuSN2 crystal (GGA-PBE, Alexandria via LeMat-Bulk).

Geometry as CIF:
```
data_SrRuSN2
_symmetry_space_group_name_H-M 'P 4/m m m'
_symmetry_Int_Tables_number 123
_symmetry_space_group_name_Hall '-P 4 2'
_cell_length_a 3.935
_cell_length_b 3.935
_cell_length_c 5.151
_cell_angle_alpha 90.00
_cell_angle_beta 90.00
_cell_angle_gamma 90.00
loop_
_atom_site_label
_atom_site_type_symbol
_atom_site_fract_x
_atom_site_fract_y
_atom_site_fract_z
Sr1 Sr 0.000 0.000 0.000
Ru1 Ru 0.500 0.500 0.500
S1 S 0.500 0.500 0.000
N1 N 0.000 0.500 0.500
```

- Theoretical density: 5.2 g/cm3
- VASP energy: -32.274 eV for the cell shown
- ΔE to the lowest computed polymorph: 0 meV per atom
- Crystal system: tetragonal
- Fermi-level density of states: 2.2 states/eV per cell



No. 14
# HfCoBRh2

A relaxed HfCoBRh2 crystal (GGA-PBE, Alexandria via LeMat-Bulk).

Geometry as CIF:
```
data_HfCoBRh2
_symmetry_space_group_name_H-M 'P 4/m m m'
_symmetry_Int_Tables_number 123
_symmetry_space_group_name_Hall '-P 4 2'
_cell_length_a 4.115
_cell_length_b 4.115
_cell_length_c 3.910
_cell_angle_alpha 90.00
_cell_angle_beta 90.00
_cell_angle_gamma 90.00
loop_
_atom_site_label
_atom_site_type_symbol
_atom_site_fract_x
_atom_site_fract_y
_atom_site_fract_z
Hf1 Hf 0.000 0.000 0.000
Co1 Co 0.500 0.500 0.000
B1 B 0.500 0.500 0.500
Rh1 Rh 0.000 0.500 0.500
```

- Theoretical density: 11.4 g/cm3
- DFT formation energy: -0.649 eV/atom
- VASP energy: -41.684 eV for the cell shown
- Crystal system: tetragonal
- Fermi-level density of states: 1.2 states/eV per cell



No. 15
# LiTmAgSb

A relaxed LiTmAgSb crystal (GGA-PBE, Alexandria via LeMat-Bulk).

Geometry as CIF:
```
data_LiTmAgSb
_symmetry_space_group_name_H-M 'F -4 3 m'
_symmetry_Int_Tables_number 216
_symmetry_space_group_name_Hall 'F -4 2 3'
_cell_length_a 7.060
_cell_length_b 7.060
_cell_length_c 7.060
_cell_angle_alpha 90.00
_cell_angle_beta 90.00
_cell_angle_gamma 90.00
loop_
_atom_site_label
_atom_site_type_symbol
_atom_site_fract_x
_atom_site_fract_y
_atom_site_fract_z
Li1 Li 0.000 0.000 0.000
Tm1 Tm 0.000 0.000 0.500
Ag1 Ag 0.250 0.250 0.750
Sb1 Sb 0.250 0.250 0.250
```

- Theoretical density: 7.7 g/cm3
- VASP energy: -61.676 eV for the cell shown
- Crystal system: cubic
- Fermi-level density of states: 5.2 states/eV per cell



No. 16
# CoTcMo2Br

A relaxed CoTcMo2Br crystal (GGA-PBE, Alexandria via LeMat-Bulk).

Geometry as CIF:
```
data_CoTcMo2Br
_symmetry_space_group_name_H-M 'P 4/m m m'
_symmetry_Int_Tables_number 123
_symmetry_space_group_name_Hall '-P 4 2'
_cell_length_a 4.782
_cell_length_b 4.782
_cell_length_c 4.443
_cell_angle_alpha 90.00
_cell_angle_beta 90.00
_cell_angle_gamma 90.00
loop_
_atom_site_label
_atom_site_type_symbol
_atom_site_fract_x
_atom_site_fract_y
_atom_site_fract_z
Co1 Co 0.000 0.000 0.000
Tc1 Tc 0.000 0.000 0.500
Mo1 Mo 0.000 0.500 0.500
Br1 Br 0.500 0.500 0.000
```

- Theoretical density: 7.0 g/cm3
- VASP energy: -32.346 eV for the cell shown
- Crystal system: tetragonal
- Fermi-level density of states: 8.9 states/eV per cell



No. 17
# ReC8

A relaxed ReC8 crystal (GGA-PBE, Alexandria via LeMat-Bulk).

Geometry as CIF:
```
data_ReC8
_symmetry_space_group_name_H-M 'I 4/m m m'
_symmetry_Int_Tables_number 139
_symmetry_space_group_name_Hall '-I 4 2'
_cell_length_a 10.242
_cell_length_b 10.242
_cell_length_c 2.602
_cell_angle_alpha 90.00
_cell_angle_beta 90.00
_cell_angle_gamma 90.00
loop_
_atom_site_label
_atom_site_type_symbol
_atom_site_fract_x
_atom_site_fract_y
_atom_site_fract_z
Re1 Re 0.000 0.000 0.000
C1 C 0.000 0.204 0.000
C2 C 0.121 0.121 0.500
```

- Theoretical density: 3.4 g/cm3
- DFT formation energy: 3.335 eV/atom
- VASP energy: -112.450 eV for the cell shown
- Crystal system: tetragonal
- Fermi-level density of states: 15.1 states/eV per cell



No. 18
# Si2Tc2Se

A relaxed Si2Tc2Se crystal (GGA-PBE, Alexandria via LeMat-Bulk).

Geometry as CIF:
```
data_Si2Tc2Se
_symmetry_space_group_name_H-M 'I 4/m m m'
_symmetry_Int_Tables_number 139
_symmetry_space_group_name_Hall '-I 4 2'
_cell_length_a 3.417
_cell_length_b 3.417
_cell_length_c 13.039
_cell_angle_alpha 90.00
_cell_angle_beta 90.00
_cell_angle_gamma 90.00
loop_
_atom_site_label
_atom_site_type_symbol
_atom_site_fract_x
_atom_site_fract_y
_atom_site_fract_z
Si1 Si 0.000 0.500 0.250
Tc1 Tc 0.000 0.000 0.115
Se1 Se 0.000 0.000 0.500
```

- Theoretical density: 7.2 g/cm3
- VASP energy: -71.742 eV for the cell shown
- ΔE to the lowest computed polymorph: 0 meV per atom
- Crystal system: tetragonal
- Fermi-level density of states: 5.3 states/eV per cell